# ZnGaB2 | Alexandria | meta-GGA SCAN | PBEsol geometry
# DFT total energy: -39.4 eV per formula unit
# Distance to the lowest polymorph of the same formula: 0.80 eV/f.u.
# Calculated formation energy: 1.3180 eV/atom
# Magnetization: 0.00 μB/atom
data_ZnGaB2
_chemical_formula_sum 'Zn4 Ga4 B8'
_cell_length_a 5.640
_cell_length_b 5.640
_cell_length_c 5.640
_cell_angle_alpha 90.00
_cell_angle_beta 90.00
_cell_angle_gamma 90.00
_symmetry_space_group_name_H-M 'F m -3 m'
_symmetry_Int_Tables_number 225
_symmetry_space_group_name_Hall '-F 4 2 3'
loop_
_atom_site_label
_atom_site_fract_x
_atom_site_fract_y
_atom_site_fract_z
_atom_site_occupancy
Zn1 0.000 0.000 0.000 1
Ga1 0.000 0.000 0.500 1
B1 0.250 0.250 0.250 1



# TiCoGe2 | Alexandria | meta-GGA SCAN | PBEsol geometry
# DFT total energy: -73.5 eV per formula unit
# Calculated formation energy: -0.4910 eV/atom
# Magnetization: 0.00 μB/atom
data_TiCoGe2
_chemical_formula_sum 'Ti12 Co12 Ge24'
_cell_length_a 8.730
_cell_length_b 9.784
_cell_length_c 7.654
_cell_angle_alpha 90.00
_cell_angle_beta 90.00
_cell_angle_gamma 90.00
_symmetry_space_group_name_H-M 'P b a m'
_symmetry_Int_Tables_number 55
loop_
_symmetry_equiv_pos_as_xyz
'x,y,z'
'-x,-y,-z'
'-x,-y,z'
'x,y,-z'
'x+1/2,-y+1/2,-z'
'-x+1/2,y+1/2,z'
'-x+1/2,y+1/2,-z'
'x+1/2,-y+1/2,z'
loop_
_atom_site_label
_atom_site_fract_x
_atom_site_fract_y
_atom_site_fract_z
_atom_site_occupancy
Ti1 0.166 0.182 0.000 1
Ti2 0.168 0.454 0.238 1
Co1 0.000 0.000 0.246 1
Co2 0.094 0.751 0.249 1
Ge1 0.041 0.621 0.000 1
Ge2 0.043 0.621 0.500 1
Ge3 0.131 0.901 0.000 1
Ge4 0.137 0.907 0.500 1
Ge5 0.160 0.183 0.338 1



# BeTl2F | Alexandria | meta-GGA SCAN | PBEsol geometry
# E_form (uncorrected): -5.34 kcal/mol of atoms
# DFT total energy: -153.5 eV per formula unit
# Magnetization: 0.00 μB/atom
data_BeTl2F
_chemical_formula_sum 'Be4 Tl8 F4'
_cell_length_a 6.608
_cell_length_b 6.608
_cell_length_c 6.608
_cell_angle_alpha 90.00
_cell_angle_beta 90.00
_cell_angle_gamma 90.00
_symmetry_space_group_name_H-M 'F m -3 m'
_symmetry_Int_Tables_number 225
_symmetry_space_group_name_Hall '-F 4 2 3'
loop_
_atom_site_label
_atom_site_fract_x
_atom_site_fract_y
_atom_site_fract_z
_atom_site_occupancy
Be1 0.000 0.000 0.000 1
Tl1 0.250 0.250 0.250 1
F1 0.000 0.000 0.500 1